# 1
A relaxed structure of BeP2OsN. Source: Alexandria, functional PBE-GGA.

## Properties
Volume: 84.73 Å³/cell
E_tot: -5.37 eV/atom

a b c (Å): 4.458 4.263 4.458
angles (deg): 90.00 90.00 90.00
Fractional positions:
P 0.500 0.000 0.000
P 0.000 0.000 0.500
Be 0.000 0.500 0.000
N 0.500 0.500 0.500
Os 0.000 0.000 0.000

---

# 2
A relaxed structure of PdAu. Source: Alexandria, functional PBE-GGA.

## Properties
Energy relative to the elements: -7.01 kJ per mole of atoms
Volume: 133.28 Å³/cell

a b c (Å): 4.933 2.883 9.526
angles (deg): 90.00 100.33 90.00
Fractional positions:
Pd 0.374 0.500 0.127
Au 0.868 0.500 0.623
Pd 0.626 0.500 0.873
Au 0.132 0.000 0.877
Pd 0.374 0.000 0.627
Au 0.868 0.000 0.123
Pd 0.626 0.000 0.373
Au 0.132 0.500 0.377

---

# 3
A relaxed structure of Cs2NbHBr6. Source: Alexandria, functional PBE-GGA.

## Properties
Volume: 347.16 Å³/cell
E_tot: -3.49 eV/atom

a b c (Å): 7.891 7.891 7.888
angles (deg): 59.99 59.99 90.00
Fractional positions:
H 0.500 0.500 0.000
Br 0.767 0.767 0.000
Br 0.766 0.766 0.467
Br 0.767 0.233 0.000
Br 0.233 0.233 0.000
Br 0.233 0.767 0.000
Cs 0.250 0.750 0.500
Nb 0.000 0.000 0.000
Cs 0.750 0.250 0.500
Br 0.234 0.234 0.533

---

# 4
A relaxed structure of Cu2NiRu. Source: Alexandria, functional PBE-GGA.

## Properties
Energy relative to the elements: 24.96 kJ per mole of atoms
Volume: 49.53 Å³/cell
Offset from the most stable computed form: 140.9 meV/atom

a b c (Å): 4.534 4.534 4.534
angles (deg): 132.61 132.61 69.26
Fractional positions:
Ni 0.250 0.750 0.500
Cu 0.000 0.000 0.000
Ru 0.750 0.250 0.500
Cu 0.500 0.500 0.000

---

# 5
A relaxed structure of Al2TcGeI. Source: Alexandria, functional PBE-GGA.

## Properties
Volume: 155.12 Å³/cell
Offset from the most stable computed form: 1104.1 meV/atom

a b c (Å): 5.362 5.396 5.362
angles (deg): 90.00 90.00 90.00
Fractional positions:
Al 0.500 0.000 0.000
Tc 0.500 0.500 0.500
I 0.000 0.000 0.000
Al 0.000 0.000 0.500
Ge 0.000 0.500 0.000

---

We obtain D(E_F) values of 3.70; 6.41; 9.12; 4.11; 4.56 states/eV/cell for the records listed above, in that order.